No. 1
20
Lattice="4.917 0.000 0.000 0.000 4.917 0.000 0.000 0.000 24.513" Properties=species:S:1:pos:R:3 comment="TbHo15Sc4 GGA-PBE relaxed" spacegroup=P4/mmm delta_e_f_mev_per_atom=37 magnetic_moment_mub_per_fu=0.000 pbc="T T T"
Tb 0.000 0.000 0.000
Ho 0.000 2.458 2.532
Ho 0.000 2.458 7.396
Ho 0.000 2.458 12.256
Ho 0.000 2.458 17.117
Ho 0.000 2.458 21.981
Ho 2.458 0.000 2.532
Ho 2.458 0.000 7.396
Ho 2.458 0.000 12.256
Ho 2.458 0.000 17.117
Ho 2.458 0.000 21.981
Ho 2.458 2.458 0.000
Ho 2.458 2.458 4.974
Ho 2.458 2.458 9.828
Ho 2.458 2.458 14.685
Ho 2.458 2.458 19.538
Sc 0.000 0.000 4.960
Sc 0.000 0.000 9.827
Sc 0.000 0.000 14.685
Sc 0.000 0.000 19.552

---

No. 2
5
Lattice="-3.204 3.204 4.082 3.204 -3.204 4.082 3.204 3.204 -4.082" Properties=species:S:1:pos:R:3 comment="Sr2LiAl2 GGA-PBE relaxed" de_polymorph_ev_per_atom=0.201 spacegroup=I4/mmm delta_e_f_mev_per_atom=83 magnetic_moment_mub_per_fu=0.000 pbc="T T T"
Sr 3.204 0.000 2.041
Sr 0.000 3.204 2.041
Li 0.000 0.000 0.000
Al 0.000 0.000 2.829
Al 0.000 0.000 5.334

---

No. 3
6
Lattice="0.000 5.028 5.028 5.028 0.000 5.028 5.028 5.028 0.000" Properties=species:S:1:pos:R:3 comment="Ba4ZnTc GGA-PBE relaxed" spacegroup=F-43m delta_e_f_mev_per_atom=1118 magnetic_moment_mub_per_fu=1.813 pbc="T T T"
Ba 1.253 1.253 1.253
Ba 3.776 3.776 1.253
Ba 3.776 1.253 3.776
Ba 1.253 3.776 3.776
Zn 5.028 5.028 5.028
Tc 7.543 7.543 7.543

---

No. 4
18
Lattice="5.542 -3.936 0.000 5.542 3.936 0.000 -4.853 0.000 8.901" Properties=species:S:1:pos:R:3 comment="Hg3IF5 GGA-PBE relaxed" spacegroup=C2/m e_form_raw_kcal_per_mol_atoms=-27.821 magnetic_moment_mub_per_fu=0.000 pbc="T T T"
Hg 0.000 0.000 0.000
Hg -2.427 0.000 4.450
Hg 1.839 0.000 3.117
Hg 0.501 0.000 6.946
Hg 5.729 0.000 1.955
Hg 4.391 0.000 5.784
I -2.191 0.000 7.207
I 8.421 0.000 1.693
F 0.100 2.512 7.246
F 0.090 0.000 4.619
F 6.130 2.512 1.655
F 3.115 1.446 4.450
F 3.651 0.000 1.545
F 2.579 0.000 7.355
F 3.115 -1.446 4.450
F 0.100 -2.512 7.246
F 6.140 0.000 4.281
F 6.130 -2.512 1.655

---

no.,electronic total energy (eV per atom)
1,-4.894
2,-2.469
3,-2.104
4,-2.519